No. 1
DFT (PBE-GGA) results for a relaxed structure of Ce2HoCd8.

Cell: 8.992 8.992 5.349 Å, 107.26 107.26 124.02°
Element x y z (fractional)
Ce1 0.190 0.810 0.000
Ce2 0.810 0.190 0.000
Ho1 0.500 0.500 0.500
Cd1 0.018 0.018 0.770
Cd2 0.149 0.399 0.767
Cd3 0.302 0.698 0.500
Cd4 0.399 0.149 0.767
Cd5 0.601 0.851 0.233
Cd6 0.698 0.302 0.500
Cd7 0.851 0.601 0.233
Cd8 0.982 0.982 0.230

## Properties
- Formation energy: -0.16 eV per atom
- M_tot: 1.582 μB per formula unit
- Space group: C2/m (12)

***

No. 2
DFT (PBE-GGA) results for a relaxed structure of CeHo3Cd4.

Cell: 5.287 5.287 7.580 Å, 90.00 90.00 90.00°
Element x y z (fractional)
Ce1 0.000 0.000 0.000
Ho1 0.000 0.000 0.500
Ho2 0.500 0.500 0.000
Ho3 0.500 0.500 0.500
Cd1 0.000 0.500 0.259
Cd2 0.000 0.500 0.741
Cd3 0.500 0.000 0.259
Cd4 0.500 0.000 0.741

## Properties
- Formation energy: -0.25 eV per atom
- M_tot: 2.049 μB per formula unit
- Space group: P4/mmm (123)

***

No. 3
DFT (PBE-GGA) results for a relaxed structure of CeHo5Cd6.

Cell: 9.142 9.142 9.142 Å, 146.58 131.00 60.61°
Element x y z (fractional)
Ce1 0.000 0.000 0.000
Ho1 0.161 0.661 0.500
Ho2 0.331 0.331 0.000
Ho3 0.500 0.000 0.500
Ho4 0.669 0.669 0.000
Ho5 0.839 0.339 0.500
Cd1 0.088 0.830 0.259
Cd2 0.266 0.500 0.766
Cd3 0.429 0.170 0.259
Cd4 0.571 0.830 0.741
Cd5 0.734 0.500 0.234
Cd6 0.912 0.170 0.741

## Properties
- Formation energy: -0.27 eV per atom
- M_tot: 2.296 μB per formula unit
- Space group: Immm (71)

***

No. 4
DFT (PBE-GGA) results for a relaxed structure of Ce2HoCd6.

Cell: 8.803 8.803 3.309 Å, 90.00 90.00 120.00°
Element x y z (fractional)
Ce1 0.333 0.667 0.000
Ce2 0.667 0.333 0.000
Ho1 0.000 0.000 0.000
Cd1 0.000 0.330 0.500
Cd2 0.000 0.670 0.500
Cd3 0.330 0.000 0.500
Cd4 0.330 0.330 0.500
Cd5 0.670 0.000 0.500
Cd6 0.670 0.670 0.500

## Properties
- Formation energy: -0.27 eV per atom
- M_tot: 2.478 μB per formula unit
- Space group: P6/mmm (191)

***

No. 5
DFT (PBE-GGA) results for a relaxed structure of CeHoCd2.

Cell: 5.350 5.350 5.350 Å, 60.00 60.00 60.00°
Element x y z (fractional)
Ce1 0.000 0.000 0.000
Ho1 0.500 0.500 0.500
Cd1 0.250 0.250 0.250
Cd2 0.750 0.750 0.750

## Properties
- Formation energy: -0.21 eV per atom
- M_tot: 1.772 μB per formula unit
- Space group: Fm-3m (225)

***

No. 6
DFT (PBE-GGA) results for a relaxed structure of CeHoCd2.

Cell: 3.418 3.418 8.946 Å, 90.00 90.00 90.00°
Element x y z (fractional)
Ce1 0.000 0.000 0.000
Ho1 0.000 0.000 0.500
Cd1 0.500 0.500 0.261
Cd2 0.500 0.500 0.739

## Properties
- Formation energy: -0.22 eV per atom
- M_tot: 0.925 μB per formula unit
- Space group: P4/mmm (123)

***

No. 7
DFT (PBE-GGA) results for a relaxed structure of CeHoCd2.

Cell: 10.763 10.763 10.763 Å, 18.37 18.37 18.37°
Element x y z (fractional)
Ce1 0.000 0.000 0.000
Ho1 0.500 0.500 0.500
Cd1 0.247 0.247 0.247
Cd2 0.753 0.753 0.753

## Properties
- Formation energy: -0.08 eV per atom
- M_tot: 0.925 μB per formula unit
- Space group: R-3m (166)

***

No. 8
DFT (PBE-GGA) results for a relaxed structure of CeHo5Cd3.

Cell: 9.193 9.193 6.826 Å, 90.00 90.00 120.00°
Element x y z (fractional)
Ce1 0.000 0.000 0.000
Ce2 0.000 0.000 0.500
Ho1 0.000 0.328 0.250
Ho2 0.000 0.672 0.750
Ho3 0.328 0.000 0.250
Ho4 0.328 0.328 0.750
Ho5 0.333 0.667 0.000
Ho6 0.333 0.667 0.500
Ho7 0.667 0.333 0.000
Ho8 0.667 0.333 0.500
Ho9 0.672 0.000 0.750
Ho10 0.672 0.672 0.250
Cd1 0.000 0.342 0.750
Cd2 0.000 0.658 0.250
Cd3 0.342 0.000 0.750
Cd4 0.342 0.342 0.250
Cd5 0.658 0.000 0.250
Cd6 0.658 0.658 0.750

## Properties
- Formation energy: -0.14 eV per atom
- M_tot: 1.868 μB per formula unit
- Space group: P6_3/mcm (193)

***

No. 9
DFT (PBE-GGA) results for a relaxed structure of CeHoCd2.

Cell: 4.796 4.796 4.581 Å, 90.00 90.00 90.00°
Element x y z (fractional)
Ce1 0.000 0.000 0.000
Ho1 0.500 0.500 0.000
Cd1 0.000 0.500 0.500
Cd2 0.500 0.000 0.500

## Properties
- Formation energy: -0.17 eV per atom
- M_tot: 1.254 μB per formula unit
- Space group: P4/mmm (123)

***

No. 10
DFT (PBE-GGA) results for a relaxed structure of CeHo2Cd2In2.

Cell: 9.336 9.336 9.336 Å, 30.97 30.97 30.97°
Element x y z (fractional)
Ce1 0.000 0.000 0.000
Ho1 0.129 0.129 0.129
Ho2 0.871 0.871 0.871
Cd1 0.406 0.406 0.406
Cd2 0.594 0.594 0.594
In1 0.259 0.259 0.259
In2 0.741 0.741 0.741

## Properties
- Formation energy: -0.21 eV per atom
- M_tot: 1.454 μB per formula unit
- Space group: R-3m (166)

***

No. 11
DFT (PBE-GGA) results for a relaxed structure of CeHoCdIn.

Cell: 5.369 5.369 5.369 Å, 60.00 60.00 60.00°
Element x y z (fractional)
Ce1 0.000 0.000 0.000
Ho1 0.500 0.500 0.500
Cd1 0.750 0.750 0.750
In1 0.250 0.250 0.250

## Properties
- Formation energy: -0.31 eV per atom
- M_tot: 0.994 μB per formula unit
- Space group: F-43m (216)

***

No. 12
DFT (PBE-GGA) results for a relaxed structure of Ce2HoCd2In2.

Cell: 9.395 9.395 9.395 Å, 29.70 29.70 29.70°
Element x y z (fractional)
Ce1 0.143 0.143 0.143
Ce2 0.857 0.857 0.857
Ho1 0.000 0.000 0.000
Cd1 0.412 0.412 0.412
Cd2 0.588 0.588 0.588
In1 0.271 0.271 0.271
In2 0.729 0.729 0.729

## Properties
- Formation energy: -0.19 eV per atom
- M_tot: 2.254 μB per formula unit
- Space group: R-3m (166)